Density functional theory data (GGA-PBE) for a relaxed structure of Na2Ga2Sb.

Values from the calculation:
spin magnetization: 0.00 μB/atom
DOS(E_F): 4.191 states/eV/cell
VASP energy: -2.590 eV/atom
energy relative to the elements, uncorrected: -0.027 eV/atom
theoretical density: 4.334 g/cm³

a b c (Å): 8.345 8.345 3.380
angles (deg): 90.00 90.00 90.00
Sites, in units of the cell vectors:
1 Sb 0.000 0.000 0.000
2 Sb 0.500 0.500 0.000
3 Ga 0.387 0.887 0.000
4 Ga 0.887 0.613 0.000
5 Ga 0.613 0.113 0.000
6 Ga 0.113 0.387 0.000
7 Na 0.185 0.685 0.500
8 Na 0.685 0.815 0.500
9 Na 0.815 0.315 0.500
10 Na 0.315 0.185 0.500